! ZnSi16Ge12P3 (PBE, optimized geometry); values from VASP
&SYSTEM
  ibrav = 0, nat = 32, ntyp = 4
/
ATOMIC_SPECIES
Zn 65.41 Zn.upf
Si 28.09 Si.upf
Ge 72.64 Ge.upf
P 30.97 P.upf
ATOMIC_POSITIONS crystal
Zn 0.000 0.000 0.000
Si 0.114 0.071 0.392
Si 0.116 0.203 0.006
Si 0.122 0.582 0.881
Si 0.124 0.449 0.260
Si 0.493 0.559 0.802
Si 0.494 0.932 0.683
Si 0.495 0.433 0.180
Si 0.495 0.671 0.427
Si 0.503 0.307 0.554
Si 0.616 0.392 0.946
Si 0.620 0.135 0.696
Si 0.621 0.265 0.324
Si 0.625 0.508 0.572
Si 0.989 0.116 0.619
Si 0.997 0.612 0.117
Si 0.998 0.497 0.489
Ge 0.002 0.860 0.375
Ge 0.108 0.816 0.138
Ge 0.118 0.948 0.768
Ge 0.124 0.322 0.632
Ge 0.487 0.061 0.310
Ge 0.487 0.186 0.932
Ge 0.487 0.802 0.070
Ge 0.616 0.878 0.453
Ge 0.621 0.760 0.829
Ge 0.629 0.011 0.074
Ge 0.992 0.379 0.869
Ge 0.999 0.243 0.242
P 0.137 0.685 0.512
P 0.633 0.624 0.199
P 0.995 0.746 0.747
CELL_PARAMETERS angstrom
6.759 0.000 0.000
1.055 10.315 0.000
3.158 1.207 9.810
! * polymorph energy (0 for the lowest one): 28 meV per atom

! ZnSi16Ge12P3 (PBE, optimized geometry); values from VASP
&SYSTEM
  ibrav = 0, nat = 32, ntyp = 4
/
ATOMIC_SPECIES
Zn 65.41 Zn.upf
Si 28.09 Si.upf
Ge 72.64 Ge.upf
P 30.97 P.upf
ATOMIC_POSITIONS crystal
Zn 0.000 0.000 0.000
Si 0.247 0.766 0.252
Si 0.312 0.448 0.815
Si 0.359 0.717 0.481
Si 0.410 0.401 0.043
Si 0.443 0.825 0.938
Si 0.540 0.784 0.171
Si 0.605 0.462 0.738
Si 0.622 0.880 0.630
Si 0.732 0.835 0.859
Si 0.738 0.263 0.754
Si 0.794 0.526 0.422
Si 0.818 0.944 0.317
Si 0.859 0.634 0.876
Si 0.916 0.904 0.550
Si 0.925 0.325 0.435
Si 0.979 0.601 0.109
Ge 0.034 0.278 0.670
Ge 0.062 0.701 0.563
Ge 0.112 0.396 0.120
Ge 0.165 0.652 0.803
Ge 0.222 0.339 0.356
Ge 0.359 0.128 0.376
Ge 0.479 0.083 0.616
Ge 0.499 0.513 0.504
Ge 0.555 0.197 0.054
Ge 0.667 0.146 0.294
Ge 0.678 0.575 0.187
Ge 0.866 0.207 0.981
P 0.101 0.957 0.235
P 0.177 0.068 0.695
P 0.298 0.016 0.925
CELL_PARAMETERS angstrom
6.774 0.000 0.000
-1.153 10.324 0.000
-3.328 -1.211 9.773
! * polymorph energy (0 for the lowest one): 0 meV per atom

! Tm2SnGeP4 (PBE, optimized geometry); values from VASP
&SYSTEM
  ibrav = 0, nat = 16, ntyp = 4
/
ATOMIC_SPECIES
Tm 168.93 Tm.upf
Sn 118.71 Sn.upf
Ge 72.64 Ge.upf
P 30.97 P.upf
ATOMIC_POSITIONS crystal
Tm 0.000 0.000 0.000
Tm 0.000 0.500 0.250
Tm 0.500 0.000 0.750
Tm 0.500 0.500 0.500
Sn 0.000 0.000 0.500
Sn 0.500 0.500 0.000
Ge 0.000 0.500 0.750
Ge 0.500 0.000 0.250
P 0.230 0.255 0.629
P 0.245 0.730 0.871
P 0.255 0.770 0.371
P 0.270 0.245 0.129
P 0.730 0.755 0.129
P 0.745 0.230 0.371
P 0.755 0.270 0.871
P 0.770 0.745 0.629
CELL_PARAMETERS angstrom
6.111 0.000 0.000
0.000 6.111 0.000
0.000 0.000 11.845
! * spin magnetization: 0.0 μB per formula unit
! * total energy: -5.297 eV/atom

! TaGeP (PBE, optimized geometry); values from VASP
&SYSTEM
  ibrav = 0, nat = 12, ntyp = 3
/
ATOMIC_SPECIES
Ta 180.95 Ta.upf
Ge 72.64 Ge.upf
P 30.97 P.upf
ATOMIC_POSITIONS crystal
Ta 0.175 0.000 0.157
Ta 0.325 0.500 0.843
Ta 0.675 0.500 0.157
Ta 0.825 0.000 0.843
Ge 0.151 0.000 0.540
Ge 0.349 0.500 0.460
Ge 0.651 0.500 0.540
Ge 0.849 0.000 0.460
P 0.045 0.500 0.852
P 0.455 0.000 0.148
P 0.545 0.000 0.852
P 0.955 0.500 0.148
CELL_PARAMETERS angstrom
8.833 0.000 0.000
0.000 3.394 0.000
-2.442 0.000 6.613
! * spin magnetization: 0.0 μB per formula unit
! * total energy: -7.714 eV/atom

! TcGeP (PBE, optimized geometry); values from VASP
&SYSTEM
  ibrav = 0, nat = 12, ntyp = 3
/
ATOMIC_SPECIES
Tc 98.00 Tc.upf
Ge 72.64 Ge.upf
P 30.97 P.upf
ATOMIC_POSITIONS crystal
Tc 0.000 0.000 0.000
Tc 0.189 0.500 0.593
Tc 0.500 0.500 0.000
Tc 0.689 0.000 0.593
Ge 0.221 0.500 0.274
Ge 0.244 0.000 0.914
Ge 0.721 0.000 0.274
Ge 0.744 0.500 0.914
P 0.006 0.000 0.333
P 0.446 0.000 0.707
P 0.506 0.500 0.333
P 0.946 0.500 0.707
CELL_PARAMETERS angstrom
8.842 0.000 0.000
0.000 3.115 0.000
-3.737 0.000 6.589
! * spin magnetization: 0.0 μB per formula unit
! * total energy: -7.156 eV/atom

! Th4GeP3 (PBE, optimized geometry); values from VASP
&SYSTEM
  ibrav = 0, nat = 8, ntyp = 3
/
ATOMIC_SPECIES
Th 232.04 Th.upf
Ge 72.64 Ge.upf
P 30.97 P.upf
ATOMIC_POSITIONS crystal
Th 0.000 0.000 0.000
Th 0.000 0.500 0.500
Th 0.500 0.000 0.500
Th 0.500 0.500 0.000
Ge 0.500 0.500 0.500
P 0.000 0.000 0.500
P 0.000 0.500 0.000
P 0.500 0.000 0.000
CELL_PARAMETERS angstrom
5.915 0.000 0.000
0.000 5.915 0.000
0.000 0.000 5.915
! * spin magnetization: 0.0 μB per formula unit
! * total energy: -7.665 eV/atom

> Which formula does entry 5 have?

TcGeP